1.
Here is an optimized crystal structure of CeDyHoTm2 from the Alexandria database. Energies are from PBE-GGA.

Values from the calculation:
D(E_F) ... 2.368 states/eV per atom
Symmetry ... Pmmm
Theoretical density ... 8.2 g/cm3
Spin magnetization ... 2.4 Bohr magnetons per cell
Energy ... -0.3301 Ry per atom

Cell: 5.4204 8.5520 7.0683 Å, 90.01 90.00 90.00°
With the nearest neighbours (Å) after each atom.
Positions (direct):
Tm: 0.5000 0.3189 0.0001  1 Tm 3.10, 2 Ho 3.25
Tm: 0.5000 0.6811 0.9999  1 Tm 3.10, 2 Ho 3.25
Tm: 0.5000 0.6811 0.4999  1 Tm 3.10, 2 Ho 3.25
Tm: 0.5000 0.3189 0.5001  1 Tm 3.10, 2 Ho 3.25
Dy: 0.0000 0.5000 0.2500  2 Dy 3.53, 8 Tm 3.59
Dy: 0.0000 0.5000 0.7500  2 Dy 3.53, 8 Tm 3.59
Ce: 0.0000 0.0000 0.5000  4 Ho 3.24, 2 Ce 3.53
Ce: 0.0000 0.0000 0.0000  4 Ho 3.24, 2 Ce 3.53
Ho: 0.5000 0.0000 0.7500  4 Ce 3.24, 4 Tm 3.25, 2 Ho 3.53
Ho: 0.5000 0.0000 0.2500  4 Ce 3.24, 4 Tm 3.25, 2 Ho 3.53


2.
Here is an optimized crystal structure of Ce2Dy3HoTm6 from the Alexandria database. Energies are from PBE-GGA.

Values from the calculation:
D(E_F) ... 1.721 states/eV per atom
Symmetry ... C2/m
Theoretical density ... 8.9 g/cm3
Spin magnetization ... 1.7 Bohr magnetons per cell
Energy ... -0.3462 Ry per atom

Cell: 6.0729 6.0729 11.5922 Å, 95.01 95.01 119.97°
With the nearest neighbours (Å) after each atom.
Positions (direct):
Tm: 0.2518 0.2518 0.7510  2 Ce 3.49, 1 Ho 3.49, 6 Tm 3.50-3.53, 3 Dy 3.50-3.51
Tm: 0.0835 0.4186 0.2489  2 Ce 3.48-3.49, 1 Ho 3.50, 6 Tm 3.50-3.53, 3 Dy 3.51
Tm: 0.5814 0.9165 0.7511  2 Ce 3.48-3.49, 1 Ho 3.50, 6 Tm 3.50-3.53, 3 Dy 3.51
Tm: 0.4186 0.0835 0.2489  2 Ce 3.48-3.49, 1 Ho 3.50, 6 Tm 3.50-3.53, 3 Dy 3.51
Tm: 0.9165 0.5814 0.7511  2 Ce 3.48-3.49, 1 Ho 3.50, 6 Tm 3.50-3.53, 3 Dy 3.51
Tm: 0.7482 0.7482 0.2490  2 Ce 3.49, 1 Ho 3.49, 6 Tm 3.50-3.53, 3 Dy 3.50-3.51
Dy: 0.8339 0.1661 0.5000  6 Dy 3.49-3.51, 6 Tm 3.51
Dy: 0.1661 0.8339 0.5000  6 Dy 3.49-3.51, 6 Tm 3.51
Dy: 0.5000 0.5000 0.5000  6 Tm 3.50-3.51, 6 Dy 3.50-3.51
Ho: 0.0000 0.0000 0.0000  6 Tm 3.49-3.50, 6 Ce 3.51
Ce: 0.6665 0.3335 0.0000  6 Tm 3.48-3.49, 3 Ce 3.50-3.51, 3 Ho 3.51
Ce: 0.3335 0.6665 0.0000  6 Tm 3.48-3.49, 3 Ce 3.50-3.51, 3 Ho 3.51


3.
Here is an optimized crystal structure of Ce2Dy6Ho3Tm from the Alexandria database. Energies are from PBE-GGA.

Values from the calculation:
D(E_F) ... 1.800 states/eV per atom
Symmetry ... C2/m
Theoretical density ... 8.6 g/cm3
Spin magnetization ... 1.8 Bohr magnetons per cell
Energy ... -0.3499 Ry per atom

Cell: 6.1079 6.1079 11.6962 Å, 95.00 95.00 119.99°
With the nearest neighbours (Å) after each atom.
Positions (direct):
Dy: 0.2514 0.2514 0.7507  2 Ce 3.52, 6 Dy 3.52-3.54, 1 Tm 3.52, 3 Ho 3.53
Dy: 0.4182 0.0834 0.2491  2 Ce 3.51-3.52, 6 Dy 3.52-3.54, 1 Tm 3.52, 3 Ho 3.53-3.54
Dy: 0.7486 0.7486 0.2493  2 Ce 3.52, 6 Dy 3.52-3.54, 1 Tm 3.52, 3 Ho 3.53
Dy: 0.5818 0.9166 0.7509  2 Ce 3.51-3.52, 6 Dy 3.52-3.54, 1 Tm 3.52, 3 Ho 3.53-3.54
Dy: 0.9166 0.5818 0.7509  2 Ce 3.51-3.52, 6 Dy 3.52-3.54, 1 Tm 3.52, 3 Ho 3.53-3.54
Dy: 0.0834 0.4182 0.2491  2 Ce 3.51-3.52, 6 Dy 3.52-3.54, 1 Tm 3.52, 3 Ho 3.53-3.54
Ho: 0.1661 0.8339 0.5000  6 Ho 3.51-3.53, 6 Dy 3.53-3.54
Ho: 0.8339 0.1661 0.5000  6 Ho 3.51-3.53, 6 Dy 3.53-3.54
Ho: 0.5000 0.5000 0.5000  6 Ho 3.52-3.53, 6 Dy 3.53-3.54
Ce: 0.3335 0.6665 0.0000  6 Dy 3.51-3.52, 3 Ce 3.52-3.53, 3 Tm 3.53
Ce: 0.6665 0.3335 0.0000  6 Dy 3.51-3.52, 3 Ce 3.52-3.53, 3 Tm 3.53
Tm: 0.0000 0.0000 0.0000  6 Dy 3.52, 6 Ce 3.53


4.
Here is an optimized crystal structure of CeDyY6Ho2 from the Alexandria database. Energies are from PBE-GGA.

Values from the calculation:
D(E_F) ... 2.011 states/eV per atom
Symmetry ... C2/c
Theoretical density ... 6.0 g/cm3
Spin magnetization ... 2.6 Bohr magnetons per cell
Energy ... -0.4183 Ry per atom

Cell: 9.6614 8.7214 8.7214 Å, 116.50 94.82 94.82°
With the nearest neighbours (Å) after each atom.
Positions (direct):
Ho: 0.9513 0.7123 0.8081  6 Y 3.28-3.64, 2 Dy 3.34-3.36, 1 Ce 3.51
Ho: 0.0487 0.2877 0.1919  6 Y 3.28-3.64, 2 Dy 3.34-3.36, 1 Ce 3.51
Ho: 0.4513 0.8081 0.7123  6 Y 3.28-3.64, 2 Dy 3.34-3.36, 1 Ce 3.51
Ho: 0.5487 0.1919 0.2877  6 Y 3.28-3.64, 2 Dy 3.34-3.36, 1 Ce 3.51
Dy: 0.2500 0.9744 0.0256  4 Ho 3.34-3.36, 4 Y 3.50-3.61
Dy: 0.7500 0.0256 0.9744  4 Ho 3.34-3.36, 4 Y 3.50-3.61
Y: 0.5574 0.7508 0.1165  7 Y 3.45-3.77, 2 Ho 3.46-3.84, 1 Dy 3.61, 1 Ce 3.82
Y: 0.6830 0.0170 0.5702  3 Y 3.26-3.61, 2 Ho 3.42-3.64, 1 Ce 3.47, 1 Dy 3.50
Y: 0.6170 0.4901 0.6996  4 Y 3.26-3.56, 3 Ho 3.28-3.45, 2 Ce 3.36-3.52
Y: 0.9426 0.8835 0.2492  7 Y 3.45-3.77, 2 Ho 3.46-3.84, 1 Dy 3.61, 1 Ce 3.82
Y: 0.8170 0.4298 0.9830  3 Y 3.26-3.61, 2 Ho 3.42-3.64, 1 Ce 3.47, 1 Dy 3.50
Y: 0.4426 0.2492 0.8835  7 Y 3.45-3.77, 2 Ho 3.46-3.84, 1 Dy 3.61, 1 Ce 3.82
Y: 0.1170 0.6996 0.4901  4 Y 3.26-3.56, 3 Ho 3.28-3.45, 2 Ce 3.36-3.52
Y: 0.3830 0.5099 0.3004  4 Y 3.26-3.56, 3 Ho 3.28-3.45, 2 Ce 3.36-3.52
Y: 0.0574 0.1165 0.7508  7 Y 3.45-3.77, 2 Ho 3.46-3.84, 1 Dy 3.61, 1 Ce 3.82
Y: 0.1830 0.5702 0.0170  3 Y 3.26-3.61, 2 Ho 3.42-3.64, 1 Ce 3.47, 1 Dy 3.50
Y: 0.8830 0.3004 0.5099  4 Y 3.26-3.56, 3 Ho 3.28-3.45, 2 Ce 3.36-3.52
Y: 0.3170 0.9830 0.4298  3 Y 3.26-3.61, 2 Ho 3.42-3.64, 1 Ce 3.47, 1 Dy 3.50
Ce: 0.7500 0.5923 0.4077  6 Y 3.36-3.52, 2 Ho 3.51
Ce: 0.2500 0.4077 0.5923  6 Y 3.36-3.52, 2 Ho 3.51